The following is a GGA-PBE calculation of a geometry-optimized TlCd3Au structure, from Alexandria via LeMat-Bulk.

a b c (Å): 5.028 6.188 7.897
angles (deg): 90.00 107.50 90.00
Element x y z (fractional)
Au (0.351, 0.250, 0.705)
Cd (0.807, 0.503, 0.621)
Cd (0.012, 0.750, 0.049)
Tl (0.593, 0.250, 0.169)
Cd (0.193, 0.003, 0.379)
Cd (0.193, 0.497, 0.379)
Au (0.649, 0.750, 0.295)
Cd (0.988, 0.250, 0.951)
Tl (0.407, 0.750, 0.831)
Cd (0.807, 0.997, 0.621)

Values from the calculation:
Magnetic moment (μB per formula unit): 0.000
Excess energy over the best structure of this formula in the dataset (meV/atom): 0
Uncorrected energy (eV/atom): -1.715

The following is a GGA-PBE calculation of a geometry-optimized Tl2CdAu structure, from Alexandria via LeMat-Bulk.

a b c (Å): 4.767 4.767 6.403
angles (deg): 68.15 68.15 60.00
Element x y z (fractional)
Cd (0.496, 0.496, 0.513)
Tl (0.267, 0.267, 0.199)
Tl (0.070, 0.070, 0.789)
Au (0.667, 0.667, 0.999)

Values from the calculation:
Magnetic moment (μB per formula unit): 0.000
Excess energy over the best structure of this formula in the dataset (meV/atom): 60
Uncorrected energy (eV/atom): -2.190

The following is a GGA-PBE calculation of a geometry-optimized TlCdAu2 structure, from Alexandria via LeMat-Bulk.

a b c (Å): 5.171 5.171 4.893
angles (deg): 75.53 75.53 43.63
Element x y z (fractional)
Cd (0.488, 0.488, 0.543)
Au (0.007, 0.007, 0.989)
Tl (0.255, 0.255, 0.229)
Au (0.749, 0.749, 0.739)

Values from the calculation:
Magnetic moment (μB per formula unit): 0.000
Uncorrected energy (eV/atom): -2.469

The following is a GGA-PBE calculation of a geometry-optimized Tl4CdAu4 structure, from Alexandria via LeMat-Bulk.

a b c (Å): 6.407 7.160 6.725
angles (deg): 61.99 90.00 116.58
Element x y z (fractional)
Tl (0.459, 0.693, 0.911)
Cd (0.000, 0.000, 0.000)
Au (0.915, 0.187, 0.554)
Tl (0.766, 0.307, 0.089)
Tl (0.541, 0.307, 0.604)
Tl (0.234, 0.693, 0.396)
Au (0.271, 0.187, 0.259)
Au (0.085, 0.813, 0.741)
Au (0.729, 0.813, 0.446)

Values from the calculation:
Magnetic moment (μB per formula unit): 0.000
Uncorrected energy (eV/atom): -2.630

The following is a GGA-PBE calculation of a geometry-optimized Tl2Cd9Au4 structure, from Alexandria via LeMat-Bulk.

a b c (Å): 4.757 4.757 18.154
angles (deg): 90.00 90.00 120.00
Element x y z (fractional)
Au (0.667, 0.333, 0.897)
Cd (0.000, 0.000, 0.149)
Cd (0.000, 0.000, 0.328)
Cd (0.667, 0.333, 0.053)
Cd (0.333, 0.667, 0.569)
Au (0.333, 0.667, 0.398)
Tl (0.667, 0.333, 0.243)
Tl (0.333, 0.667, 0.757)
Cd (0.333, 0.667, 0.947)
Cd (0.000, 0.000, 0.851)
Cd (0.667, 0.333, 0.431)
Au (0.667, 0.333, 0.602)
Cd (0.000, 0.000, 0.500)
Au (0.333, 0.667, 0.103)
Cd (0.000, 0.000, 0.672)

Values from the calculation:
Magnetic moment (μB per formula unit): 0.000
Uncorrected energy (eV/atom): -1.803

The following is a GGA-PBE calculation of a geometry-optimized Tl2CdAu structure, from Alexandria via LeMat-Bulk.

a b c (Å): 4.927 4.929 4.197
angles (deg): 90.00 90.00 90.00
Element x y z (fractional)
Cd (0.000, 0.500, 0.500)
Tl (0.500, 0.500, 0.000)
Tl (0.000, 0.000, 0.000)
Au (0.500, 0.000, 0.500)

Values from the calculation:
Magnetic moment (μB per formula unit): 0.000
Excess energy over the best structure of this formula in the dataset (meV/atom): 54
Uncorrected energy (eV/atom): -2.196

The following is a GGA-PBE calculation of a geometry-optimized TlCd12Au6 structure, from Alexandria via LeMat-Bulk.

a b c (Å): 7.994 7.994 7.994
angles (deg): 105.65 105.65 105.65
Element x y z (fractional)
Au (0.716, 0.302, 0.716)
Au (0.716, 0.716, 0.302)
Au (0.284, 0.698, 0.284)
Tl (0.000, 0.000, 0.000)
Cd (0.115, 0.500, 0.885)
Cd (0.885, 0.115, 0.500)
Cd (0.616, 0.870, 0.616)
Cd (0.885, 0.500, 0.115)
Au (0.698, 0.284, 0.284)
Cd (0.384, 0.130, 0.384)
Cd (0.130, 0.384, 0.384)
Cd (0.115, 0.885, 0.500)
Cd (0.384, 0.384, 0.130)
Cd (0.500, 0.885, 0.115)
Au (0.302, 0.716, 0.716)
Cd (0.870, 0.616, 0.616)
Au (0.284, 0.284, 0.698)
Cd (0.500, 0.115, 0.885)
Cd (0.616, 0.616, 0.870)

Values from the calculation:
Magnetic moment (μB per formula unit): 0.000
Uncorrected energy (eV/atom): -1.847

The following is a GGA-PBE calculation of a geometry-optimized Tl2Cd5Au3 structure, from Alexandria via LeMat-Bulk.

a b c (Å): 4.375 7.763 14.222
angles (deg): 90.00 98.85 90.00
Element x y z (fractional)
Cd (0.297, 0.490, 0.594)
Cd (0.872, 0.741, 0.745)
Tl (0.175, 0.700, 0.350)
Cd (0.706, 0.404, 0.412)
Tl (0.825, 0.200, 0.650)
Cd (0.947, 0.130, 0.894)
Cd (0.053, 0.630, 0.106)
Tl (0.522, 0.290, 0.044)
Cd (0.294, 0.904, 0.588)
Au (0.391, 0.001, 0.781)
Tl (0.478, 0.790, 0.956)
Cd (0.128, 0.241, 0.255)
Cd (0.703, 0.990, 0.406)
Au (0.233, 0.195, 0.466)
Cd (0.399, 0.397, 0.799)
Au (0.045, 0.017, 0.089)
Au (0.767, 0.695, 0.534)
Au (0.609, 0.501, 0.219)
Cd (0.601, 0.897, 0.201)
Au (0.955, 0.517, 0.911)

Values from the calculation:
Magnetic moment (μB per formula unit): 0.000
Uncorrected energy (eV/atom): -2.005

Number 1: energy of formation -0.2 eV/f.u.. Number 2: energy of formation 0.2 eV/f.u.. Number 3: energy of formation 0.0 eV/f.u.. Number 4: energy of formation -0.2 eV/f.u.. Number 5: energy of formation -1.0 eV/f.u.. Number 6: energy of formation 0.1 eV/f.u.. Number 7: energy of formation -2.1 eV/f.u.. Number 8: energy of formation -0.9 eV/f.u..